#one
Entry from Alexandria: a relaxed TiAl2V2 crystal (GGA-PBE).

## Properties
N(E_F) ... 0.937 states/eV/atom

Cell: 6.9308 6.9308 3.1594 Å, 90.00 90.00 90.00°
Sites, in units of the cell vectors:
Ti  0.0000  0.0000  0.0000
Ti  0.5000  0.5000  0.0000
Al  0.1275  0.3725  0.0000
Al  0.3725  0.8725  0.0000
Al  0.6275  0.1275  0.0000
Al  0.8725  0.6275  0.0000
V  0.1719  0.6719  0.5000
V  0.3281  0.1719  0.5000
V  0.6719  0.8281  0.5000
V  0.8281  0.3281  0.5000

=====

#two
Entry from Alexandria: a relaxed TiAl2V2 crystal (GGA-PBE).

## Properties
N(E_F) ... 0.548 states/eV/atom

Cell: 7.5844 7.5844 2.6804 Å, 90.00 90.00 90.00°
Sites, in units of the cell vectors:
Ti  0.0000  0.0000  0.0000
Ti  0.5000  0.5000  0.0000
Al  0.1848  0.3152  0.5000
Al  0.3152  0.8152  0.5000
Al  0.6848  0.1848  0.5000
Al  0.8152  0.6848  0.5000
V  0.1094  0.6094  0.0000
V  0.3906  0.1094  0.0000
V  0.6094  0.8906  0.0000
V  0.8906  0.3906  0.0000

=====

Ranking the structures above by energy, #one is first and the second is 60 meV/atom behind.